No. 1
Entry from Alexandria: a geometry-optimized KScW structure (PBEsol).

Output
**Energy of formation from the pure elements**: 0.890 eV/atom

Lattice parameters (Å, degrees): 2.882 2.882 8.849 97.13 97.13 103.77
Fractional positions:
K 0.011 0.011 0.022
Sc 0.305 0.305 0.610
W 0.684 0.684 0.368

=====

No. 2
Entry from Alexandria: a geometry-optimized K2MoOs structure (PBEsol).

Output
**Energy relative to the lowest polymorph listed for this composition**: 0.0 meV per atom
**Energy of formation from the pure elements**: 0.868 eV/atom

Lattice parameters (Å, degrees): 3.421 3.421 10.366 90.00 90.00 90.00
Fractional positions:
K 0.000 0.000 0.913
K 0.500 0.500 0.334
Mo 0.000 0.000 0.597
Os 0.500 0.500 0.656

=====

No. 3
Entry from Alexandria: a geometry-optimized Be3GeI structure (PBEsol).

Output
**Energy relative to the lowest polymorph listed for this composition**: 0.0 meV per atom
**Uncorrected formation energy**: 710.1 meV per atom

Lattice parameters (Å, degrees): 4.462 4.462 4.462 90.00 90.00 90.00
Fractional positions:
I 0.500 0.500 0.500
Be 0.000 0.500 0.000
Be 0.000 0.000 0.500
Be 0.500 0.000 0.000
Ge 0.000 0.000 0.000

=====

No. 4
Entry from Alexandria: a geometry-optimized ScCdCl2 structure (PBEsol).

Output
**Uncorrected formation energy**: -660.0 meV per atom

Lattice parameters (Å, degrees): 4.134 4.440 4.440 90.00 90.00 90.00
Fractional positions:
Sc 0.500 0.500 0.500
Cl 0.000 0.000 0.500
Cl 0.000 0.500 0.000
Cd 0.500 0.000 0.000

=====

No. 5
Entry from Alexandria: a geometry-optimized Ba2Cu2Os structure (PBEsol).

Output
**Energy of formation from the pure elements**: 0.623 eV/atom

Lattice parameters (Å, degrees): 3.465 3.465 9.957 100.02 100.02 90.00
Fractional positions:
Ba 0.602 0.602 0.203
Ba 0.398 0.398 0.797
Cu 0.250 0.750 0.500
Cu 0.750 0.250 0.500
Os 0.000 0.000 0.000

=====

No. 6
Entry from Alexandria: a geometry-optimized Mn2CdSb structure (PBEsol).

Output
**Uncorrected formation energy**: 333.6 meV per atom

Lattice parameters (Å, degrees): 3.845 4.193 4.194 90.00 90.00 90.00
Site moments in Bohr magnetons follow the coordinates.
Fractional positions:
Cd 0.500 0.500 0.125  -0.04
Mn 0.000 0.000 0.125  3.27
Mn 0.000 0.500 0.625  3.27
Sb 0.500 0.000 0.625  -0.04

=====

No. 7
Entry from Alexandria: a geometry-optimized Li3CuH structure (PBEsol).

Output
**VASP energy**: -2.77 eV/atom

Lattice parameters (Å, degrees): 3.855 3.855 3.855 90.00 90.00 90.00
Fractional positions:
H 0.000 0.000 0.000
Cu 0.500 0.500 0.500
Li 0.000 0.500 0.000
Li 0.000 0.000 0.500
Li 0.500 0.000 0.000

=====

No. 8
Entry from Alexandria: a geometry-optimized ScTlOs2 structure (PBEsol).

Output
**Energy of formation from the pure elements**: 0.487 eV/atom

Lattice parameters (Å, degrees): 4.565 4.565 4.565 60.00 60.00 60.00
Site moments in Bohr magnetons follow the coordinates.
Fractional positions:
Os 0.000 0.000 0.000  0.04
Os 0.750 0.750 0.750  0.09
Sc 0.500 0.500 0.500  0.01
Tl 0.250 0.250 0.250  0.00

=====

No. 9
Entry from Alexandria: a geometry-optimized La2NiIrRu structure (PBEsol).

Output
**Energy of formation from the pure elements**: 0.580 eV/atom

Lattice parameters (Å, degrees): 4.441 5.407 5.407 90.00 90.00 90.00
Site moments in Bohr magnetons follow the coordinates.
Fractional positions:
Ru 0.500 0.500 0.500  1.33
Ir 0.000 0.000 0.000  0.23
Ni 0.500 0.000 0.000  0.72
La 0.000 0.000 0.500  -0.07
La 0.000 0.500 0.000  -0.07

=====

No. 10
Entry from Alexandria: a geometry-optimized BaC6 structure (PBEsol).

Output
**Energy of formation from the pure elements**: -0.145 eV/atom

Lattice parameters (Å, degrees): 4.319 4.319 10.543 90.00 90.00 120.00
Fractional positions:
C 0.000 0.667 0.500
C 0.000 0.333 0.500
C 0.667 0.000 0.500
C 0.000 0.333 0.000
C 0.333 0.000 0.500
C 0.000 0.667 0.000
C 0.333 0.333 0.500
C 0.333 0.000 0.000
C 0.667 0.667 0.500
C 0.667 0.000 0.000
C 0.667 0.667 0.000
C 0.333 0.333 0.000
Ba 0.333 0.667 0.250
Ba 0.667 0.333 0.750

=====

No. 11
Entry from Alexandria: a geometry-optimized YMoIO2 structure (PBEsol).

Output
**Uncorrected formation energy**: -921.2 meV per atom

Lattice parameters (Å, degrees): 4.001 4.001 5.576 90.00 90.00 90.00
Fractional positions:
I 0.000 0.000 0.500
Y 0.500 0.500 0.500
Mo 0.000 0.000 0.000
O 0.000 0.500 0.000
O 0.500 0.000 0.000

=====

No. 12
Entry from Alexandria: a geometry-optimized SnH10C3Br3N structure (PBEsol).

Output
**VASP energy**: -4.81 eV/atom

Lattice parameters (Å, degrees): 6.115 6.559 12.290 90.00 90.00 95.78
Fractional positions:
Sn 0.555 0.524 0.995
Sn 0.445 0.476 0.495
H 0.858 0.846 0.155
H 0.142 0.154 0.655
H 0.921 0.208 0.132
H 0.079 0.792 0.632
H 0.157 0.208 0.221
H 0.843 0.792 0.721
H 0.154 0.076 0.092
H 0.846 0.924 0.592
H 0.675 0.063 0.270
H 0.325 0.937 0.770
H 0.732 0.831 0.340
H 0.268 0.169 0.840
H 0.900 0.071 0.364
H 0.100 0.929 0.864
H 0.956 0.344 0.785
H 0.044 0.656 0.285
H 0.768 0.229 0.684
H 0.232 0.771 0.184
H 0.781 0.114 0.817
H 0.219 0.886 0.317
C 0.053 0.118 0.161
C 0.947 0.882 0.661
C 0.804 0.976 0.304
C 0.196 0.024 0.804
C 0.876 0.199 0.753
C 0.124 0.801 0.253
Br 0.567 0.475 0.212
Br 0.433 0.525 0.712
Br 0.000 0.566 0.986
Br 0.000 0.434 0.486
Br 0.566 0.933 0.012
Br 0.434 0.067 0.512
N 0.953 0.929 0.214
N 0.047 0.071 0.714

=====

No. 13
Entry from Alexandria: a geometry-optimized ZnCr2 structure (PBEsol).

Output
**Energy of formation from the pure elements**: 0.505 eV/atom

Lattice parameters (Å, degrees): 2.606 2.606 11.169 96.70 96.70 90.00
Fractional positions:
Cr 0.664 0.164 0.328
Cr 0.836 0.336 0.672
Cr 0.414 0.414 0.828
Cr 0.586 0.586 0.172
Zn 0.000 0.000 0.000
Zn 0.250 0.750 0.500

=====

No. 14
Entry from Alexandria: a geometry-optimized TiZnSe2Br structure (PBEsol).

Output
**Uncorrected formation energy**: 198.3 meV per atom

Lattice parameters (Å, degrees): 4.805 4.805 4.977 90.00 90.00 90.00
Site moments in Bohr magnetons follow the coordinates.
Fractional positions:
Zn 0.000 0.000 0.000  0.01
Se 0.000 0.500 0.000  -0.14
Se 0.500 0.000 0.000  -0.14
Br 0.000 0.000 0.500  -0.07
Ti 0.500 0.500 0.500  1.67

=====

No. 15
Entry from Alexandria: a geometry-optimized ZnIrOs structure (PBEsol).

Output
**Energy relative to the lowest polymorph listed for this composition**: 0.0 meV per atom
**Energy of formation from the pure elements**: 0.055 eV/atom

Lattice parameters (Å, degrees): 2.716 2.716 6.515 90.00 90.00 120.00
Fractional positions:
Ir 0.000 0.000 0.996
Os 0.333 0.667 0.671
Zn 0.667 0.333 0.333

=====

No. 16
Entry from Alexandria: a geometry-optimized Ta4PSe structure (PBEsol).

Output
**Uncorrected formation energy**: 690.8 meV per atom

Lattice parameters (Å, degrees): 5.390 5.390 5.390 60.00 60.00 60.00
Fractional positions:
P 0.250 0.250 0.250
Se 0.000 0.000 0.000
Ta 0.625 0.625 0.126
Ta 0.126 0.625 0.625
Ta 0.625 0.126 0.625
Ta 0.625 0.625 0.625

=====

No. 17
Entry from Alexandria: a geometry-optimized Li2HgPt structure (PBEsol).

Output
**Energy of formation from the pure elements**: -0.446 eV/atom

Lattice parameters (Å, degrees): 3.906 3.906 4.852 113.73 113.73 90.00
Fractional positions:
Hg 0.250 0.750 0.500
Pt 0.500 0.500 0.000
Li 0.000 0.000 0.000
Li 0.750 0.250 0.500

=====

No. 18
Entry from Alexandria: a geometry-optimized CdTcBS2 structure (PBEsol).

Output
**Uncorrected formation energy**: 2253.3 meV per atom

Lattice parameters (Å, degrees): 4.785 4.785 5.192 90.00 90.00 90.00
Site moments in Bohr magnetons follow the coordinates.
Fractional positions:
S 0.000 0.500 0.000  0.11
S 0.500 0.000 0.000  0.11
B 0.500 0.500 0.500  -0.12
Tc 0.000 0.000 0.500  3.35
Cd 0.000 0.000 0.000  0.00

=====

No. 19
Entry from Alexandria: a geometry-optimized AlAsPb structure (PBEsol).

Output
**Energy relative to the lowest polymorph listed for this composition**: 73.2 meV per atom
**Energy of formation from the pure elements**: 0.027 eV/atom

Lattice parameters (Å, degrees): 3.500 3.500 6.049 106.82 106.82 90.00
Fractional positions:
Pb 0.656 0.656 0.312
As 0.385 0.385 0.769
Al 0.960 0.960 0.919

=====

No. 20
Entry from Alexandria: a geometry-optimized LiPdSe2 structure (PBEsol).

Output
**Uncorrected formation energy**: -258.4 meV per atom

Lattice parameters (Å, degrees): 3.064 3.064 8.651 79.80 79.80 60.00
Fractional positions:
Se 0.907 0.907 0.279
Se 0.093 0.093 0.721
Pd 0.000 0.000 0.000
Li 0.500 0.500 0.500

=====

No. 21
Entry from Alexandria: a geometry-optimized CaBeCl2 structure (PBEsol).

Output
**Energy relative to the lowest polymorph listed for this composition**: 0.0 meV per atom
**Uncorrected formation energy**: -863.7 meV per atom

Lattice parameters (Å, degrees): 3.931 3.931 9.373 77.89 77.89 60.00
Fractional positions:
Be 0.500 0.500 0.500
Ca 0.000 0.000 0.000
Cl 0.280 0.280 0.161
Cl 0.720 0.720 0.839

=====

No. 22
Entry from Alexandria: a geometry-optimized KSiSb2 structure (PBEsol).

Output
**Uncorrected formation energy**: 131.2 meV per atom

Lattice parameters (Å, degrees): 3.453 3.453 8.867 90.00 90.00 90.00
Fractional positions:
Sb 0.000 0.000 0.309
Sb 0.000 0.000 0.691
K 0.500 0.500 0.000
Si 0.500 0.500 0.500

=====

No. 23
Entry from Alexandria: a geometry-optimized MnCrP structure (PBEsol).

Output
**Energy of formation from the pure elements**: -0.334 eV/atom

Lattice parameters (Å, degrees): 2.611 3.792 3.792 120.00 90.00 90.00
Site moments in Bohr magnetons follow the coordinates.
Fractional positions:
Cr 0.500 0.000 0.000  0.09
Mn 0.000 0.667 0.333  -0.07
P 0.000 0.333 0.667  0.00

=====

No. 24
Entry from Alexandria: a geometry-optimized Sr3Tl structure (PBEsol).

Output
**Energy of formation from the pure elements**: -0.237 eV/atom

Lattice parameters (Å, degrees): 4.053 4.053 10.264 90.00 90.00 90.00
Fractional positions:
Sr 0.000 0.000 0.811
Sr 0.500 0.500 0.500
Sr 0.000 0.000 0.189
Tl 0.500 0.500 0.000

=====

No. 25
Entry from Alexandria: a geometry-optimized GaSb2MoI structure (PBEsol).

Output
**Uncorrected formation energy**: 520.0 meV per atom

Lattice parameters (Å, degrees): 5.108 5.108 5.883 90.00 90.00 90.00
Site moments in Bohr magnetons follow the coordinates.
Fractional positions:
I 0.000 0.000 0.500  0.01
Sb 0.000 0.500 0.000  -0.02
Sb 0.500 0.000 0.000  -0.02
Mo 0.000 0.000 0.000  0.43
Ga 0.500 0.500 0.500  0.01

=====

No. 26
Entry from Alexandria: a geometry-optimized Ca2InSe2 structure (PBEsol).

Output
**Uncorrected formation energy**: -1327.7 meV per atom

Lattice parameters (Å, degrees): 3.811 8.054 8.054 90.00 90.00 90.00
Fractional positions:
Ca 0.500 0.156 0.656
Ca 0.500 0.656 0.844
Ca 0.500 0.844 0.344
Ca 0.500 0.344 0.156
Se 0.000 0.351 0.851
Se 0.000 0.851 0.649
Se 0.000 0.649 0.149
Se 0.000 0.149 0.351
In 0.000 0.000 0.000
In 0.000 0.500 0.500